Entry 1:
A PBEsol-optimized structure of RbBiIr2, computed with SCAN. Values from VASP.

Structure (Quantum ESPRESSO input):
```
&SYSTEM
  ibrav = 0, nat = 8, ntyp = 3
/
ATOMIC_SPECIES
Bi 208.98 Bi.upf
Rb 85.47 Rb.upf
Ir 192.22 Ir.upf
ATOMIC_POSITIONS crystal
Bi 0.750 0.500 0.500
Rb 0.500 0.000 0.000
Ir 0.875 0.448 0.052
Ir 0.073 0.052 0.552
Rb 0.250 0.500 0.500
Ir 0.677 0.948 0.448
Ir 0.375 0.552 0.948
Bi 0.000 0.000 0.000
CELL_PARAMETERS angstrom
6.230 0.000 0.000
3.115 5.534 0.000
3.115 0.000 5.534
```

Theoretical density, g cm⁻³: 11.82
Crystal system: tetragonal



Entry 2:
A PBEsol-optimized structure of RbSi2BiIr, computed with SCAN. Values from VASP.

Structure (Quantum ESPRESSO input):
```
&SYSTEM
  ibrav = 0, nat = 5, ntyp = 4
/
ATOMIC_SPECIES
Bi 208.98 Bi.upf
Ir 192.22 Ir.upf
Rb 85.47 Rb.upf
Si 28.09 Si.upf
ATOMIC_POSITIONS crystal
Bi 0.000 0.000 0.500
Ir 0.000 0.000 0.000
Rb 0.500 0.500 0.500
Si 0.500 0.000 0.000
Si 0.000 0.500 0.000
CELL_PARAMETERS angstrom
-1.587 -4.340 0.497
2.432 -0.438 3.937
-4.729 2.091 3.154
```

Theoretical density, g cm⁻³: 6.89
Raw formation energy, eV per formula unit: 1.60
Crystal system: tetragonal



Entry 3:
A PBEsol-optimized structure of BiIrS3, computed with SCAN. Values from VASP.

Structure (Quantum ESPRESSO input):
```
&SYSTEM
  ibrav = 0, nat = 5, ntyp = 3
/
ATOMIC_SPECIES
Bi 208.98 Bi.upf
S 32.06 S.upf
Ir 192.22 Ir.upf
ATOMIC_POSITIONS crystal
Bi 0.500 0.500 0.500
S 0.000 0.500 0.000
S 0.000 0.000 0.500
Ir 0.000 0.000 0.000
S 0.500 0.000 0.000
CELL_PARAMETERS angstrom
4.628 0.000 0.000
0.000 4.628 0.000
0.000 0.000 4.628
```

Theoretical density, g cm⁻³: 8.33
Raw formation energy, eV per formula unit: 1.43
Crystal system: cubic



Entry 4:
A PBEsol-optimized structure of BiSbTe2Ir, computed with SCAN. Values from VASP.

Structure (Quantum ESPRESSO input):
```
&SYSTEM
  ibrav = 0, nat = 5, ntyp = 4
/
ATOMIC_SPECIES
Ir 192.22 Ir.upf
Te 127.60 Te.upf
Sb 121.76 Sb.upf
Bi 208.98 Bi.upf
ATOMIC_POSITIONS crystal
Ir 0.500 0.500 0.500
Te 0.000 0.500 0.000
Te 0.000 0.000 0.500
Sb 0.500 0.000 0.000
Bi 0.000 0.000 0.000
CELL_PARAMETERS angstrom
5.709 0.000 0.000
0.000 5.639 0.000
0.000 0.000 5.639
```

Theoretical density, g cm⁻³: 7.12
Raw formation energy, eV per formula unit: 9.19
Crystal system: tetragonal



Entry 5:
A PBEsol-optimized structure of ScBi2Ir, computed with SCAN. Values from VASP.

Structure (Quantum ESPRESSO input):
```
&SYSTEM
  ibrav = 0, nat = 8, ntyp = 3
/
ATOMIC_SPECIES
Bi 208.98 Bi.upf
Ir 192.22 Ir.upf
Sc 44.96 Sc.upf
ATOMIC_POSITIONS crystal
Bi 0.889 0.375 0.250
Bi 0.125 0.111 0.750
Ir 0.000 0.000 0.000
Sc 0.750 0.250 0.500
Ir 0.250 0.750 0.500
Bi 0.625 0.639 0.750
Bi 0.361 0.875 0.250
Sc 0.500 0.500 0.000
CELL_PARAMETERS angstrom
-1.771 3.604 1.921
-3.626 -2.351 1.069
6.761 -3.089 6.869
```

Theoretical density, g cm⁻³: 11.41
Crystal system: tetragonal



Entry 6:
A PBEsol-optimized structure of ScBiIr2, computed with SCAN. Values from VASP.

Structure (Quantum ESPRESSO input):
```
&SYSTEM
  ibrav = 0, nat = 8, ntyp = 3
/
ATOMIC_SPECIES
Sc 44.96 Sc.upf
Ir 192.22 Ir.upf
Bi 208.98 Bi.upf
ATOMIC_POSITIONS crystal
Sc 0.500 0.500 0.000
Ir 0.125 0.164 0.750
Ir 0.625 0.586 0.750
Ir 0.414 0.875 0.250
Sc 0.750 0.250 0.500
Ir 0.836 0.375 0.250
Bi 0.250 0.750 0.500
Bi 0.000 0.000 0.000
CELL_PARAMETERS angstrom
-3.911 1.099 0.963
0.375 -1.905 3.696
4.807 8.041 1.300
```

Theoretical density, g cm⁻³: 13.54
Crystal system: tetragonal



Entry 7:
A PBEsol-optimized structure of BiIr2Se, computed with SCAN. Values from VASP.

Structure (Quantum ESPRESSO input):
```
&SYSTEM
  ibrav = 0, nat = 4, ntyp = 3
/
ATOMIC_SPECIES
Ir 192.22 Ir.upf
Bi 208.98 Bi.upf
Se 78.96 Se.upf
ATOMIC_POSITIONS crystal
Ir 0.250 0.250 0.250
Bi 0.500 0.500 0.500
Ir 0.750 0.750 0.750
Se 0.000 0.000 0.000
CELL_PARAMETERS angstrom
-4.202 1.363 1.418
-3.760 -2.431 -1.216
-2.290 -2.478 3.185
```

Theoretical density, g cm⁻³: 15.81
Raw formation energy, eV per formula unit: 3.34
Crystal system: cubic



Entry 8:
A PBEsol-optimized structure of Bi2IrSe2, computed with SCAN. Values from VASP.

Structure (Quantum ESPRESSO input):
```
&SYSTEM
  ibrav = 0, nat = 10, ntyp = 3
/
ATOMIC_SPECIES
Se 78.96 Se.upf
Ir 192.22 Ir.upf
Bi 208.98 Bi.upf
ATOMIC_POSITIONS crystal
Se 0.000 0.160 0.340
Se 0.000 0.660 0.160
Se 0.000 0.840 0.660
Ir 0.000 0.000 0.000
Ir 0.000 0.500 0.500
Bi 0.500 0.805 0.695
Bi 0.500 0.695 0.195
Bi 0.500 0.305 0.805
Se 0.000 0.340 0.840
Bi 0.500 0.195 0.305
CELL_PARAMETERS angstrom
5.893 0.000 0.000
0.000 6.473 0.000
0.000 0.000 6.473
```

Theoretical density, g cm⁻³: 10.33
Raw formation energy, eV per formula unit: 1.05
Crystal system: tetragonal



Entry 9:
A PBEsol-optimized structure of SrSn2BiIr, computed with SCAN. Values from VASP.

Structure (Quantum ESPRESSO input):
```
&SYSTEM
  ibrav = 0, nat = 5, ntyp = 4
/
ATOMIC_SPECIES
Bi 208.98 Bi.upf
Sr 87.62 Sr.upf
Sn 118.71 Sn.upf
Ir 192.22 Ir.upf
ATOMIC_POSITIONS crystal
Bi 0.000 0.000 0.500
Sr 0.500 0.500 0.500
Sn 0.000 0.500 0.000
Ir 0.000 0.000 0.000
Sn 0.500 0.000 0.000
CELL_PARAMETERS angstrom
5.018 0.000 0.000
0.000 5.018 0.000
0.000 0.000 5.960
```

Theoretical density, g cm⁻³: 8.04
Crystal system: tetragonal



Entry 10:
A PBEsol-optimized structure of ZnSn2BiIr, computed with SCAN. Values from VASP.

Structure (Quantum ESPRESSO input):
```
&SYSTEM
  ibrav = 0, nat = 5, ntyp = 4
/
ATOMIC_SPECIES
Bi 208.98 Bi.upf
Sn 118.71 Sn.upf
Zn 65.41 Zn.upf
Ir 192.22 Ir.upf
ATOMIC_POSITIONS crystal
Bi 0.000 0.000 0.500
Sn 0.500 0.000 0.000
Zn 0.500 0.500 0.500
Ir 0.000 0.000 0.000
Sn 0.000 0.500 0.000
CELL_PARAMETERS angstrom
5.000 0.000 0.000
0.000 5.000 0.000
0.000 0.000 5.570
```

Theoretical density, g cm⁻³: 8.40
Crystal system: tetragonal



Entry 11:
A PBEsol-optimized structure of SrBiIr3, computed with SCAN. Values from VASP.

Structure (Quantum ESPRESSO input):
```
&SYSTEM
  ibrav = 0, nat = 5, ntyp = 3
/
ATOMIC_SPECIES
Ir 192.22 Ir.upf
Bi 208.98 Bi.upf
Sr 87.62 Sr.upf
ATOMIC_POSITIONS crystal
Ir 0.000 0.500 0.000
Ir 0.000 0.000 0.500
Bi 0.000 0.000 0.000
Sr 0.500 0.500 0.500
Ir 0.500 0.000 0.000
CELL_PARAMETERS angstrom
4.984 0.000 0.000
0.000 4.984 0.000
0.000 0.000 4.984
```

Theoretical density, g cm⁻³: 11.71
Crystal system: cubic



Entry 12:
A PBEsol-optimized structure of SrTlBiIr2, computed with SCAN. Values from VASP.

Structure (Quantum ESPRESSO input):
```
&SYSTEM
  ibrav = 0, nat = 5, ntyp = 4
/
ATOMIC_SPECIES
Sr 87.62 Sr.upf
Ir 192.22 Ir.upf
Tl 204.38 Tl.upf
Bi 208.98 Bi.upf
ATOMIC_POSITIONS crystal
Sr 0.000 0.000 0.000
Ir 0.500 0.000 0.000
Ir 0.000 0.500 0.000
Tl 0.500 0.500 0.500
Bi 0.000 0.000 0.500
CELL_PARAMETERS angstrom
4.986 0.000 0.000
0.000 4.986 0.000
0.000 0.000 5.885
```

Theoretical density, g cm⁻³: 10.05
Crystal system: tetragonal



Number 1: spin magnetization 0.00 Bohr magnetons per cell, calculated volume 23.85 Å³/atom, energy -59.18 eV/atom. Number 2: spin magnetization 0.70 Bohr magnetons per cell, calculated volume 26.17 Å³/atom, energy -37.77 eV/atom. Number 3: spin magnetization 0.00 Bohr magnetons per cell, calculated volume 19.83 Å³/atom, energy -35.43 eV/atom. Number 4: spin magnetization 2.66 Bohr magnetons per cell, calculated volume 36.31 Å³/atom, energy -50.45 eV/atom. Number 5: spin magnetization 0.00 Bohr magnetons per cell, calculated volume 23.83 Å³/atom, energy -60.54 eV/atom. Number 6: spin magnetization 0.00 Bohr magnetons per cell, calculated volume 19.58 Å³/atom, energy -58.62 eV/atom. Number 7: spin magnetization 0.00 Bohr magnetons per cell, calculated volume 17.66 Å³/atom, energy -59.38 eV/atom. Number 8: spin magnetization 0.00 Bohr magnetons per cell, calculated volume 24.69 Å³/atom, energy -53.47 eV/atom. Number 9: spin magnetization 0.00 Bohr magnetons per cell, calculated volume 30.01 Å³/atom, energy -48.87 eV/atom. Number 10: spin magnetization 0.00 Bohr magnetons per cell, calculated volume 27.85 Å³/atom, energy -46.60 eV/atom. Number 11: spin magnetization 2.21 Bohr magnetons per cell, calculated volume 24.76 Å³/atom, energy -61.56 eV/atom. Number 12: spin magnetization 1.68 Bohr magnetons per cell, calculated volume 29.27 Å³/atom, energy -60.98 eV/atom.